Here is a relaxed structure of K2Tl6SnAu from Alexandria. Energies are from PBE-GGA.

Lattice parameters (Å, degrees): 8.3686 8.3686 13.2906 71.65 71.65 60.00
Atoms (fractional coordinates):
Sn  0.3855  0.3855  0.8435
Sn  0.6145  0.6145  0.1565
Tl  0.6048  0.6048  0.6508
Tl  0.8102  0.8102  0.1828
Tl  0.1898  0.8031  0.8172
Tl  0.1898  0.1898  0.8172
Tl  0.6048  0.1396  0.6508
Tl  0.8604  0.3952  0.3492
Tl  0.3952  0.3952  0.3492
Tl  0.3952  0.8604  0.3492
Tl  0.8102  0.1969  0.1828
Tl  0.1969  0.8102  0.1828
Tl  0.8031  0.1898  0.8172
Tl  0.1396  0.6048  0.6508
K  0.7091  0.7091  0.8726
K  0.2909  0.2909  0.1274
K  0.8520  0.8520  0.4440
K  0.1480  0.1480  0.5560
Au  0.5000  0.5000  0.5000
Au  0.0000  0.0000  0.0000

Properties
- symmetry = R-3m, No. 166
- ΔH_f (0 K) (eV per atom) = -0.0253


Here is a relaxed structure of KTlSnAu from Alexandria. Energies are from PBE-GGA.

Lattice parameters (Å, degrees): 4.6715 4.6715 7.3933 71.58 71.58 60.00
Atoms (fractional coordinates):
Tl  0.0295  0.0295  0.9116
Sn  0.5940  0.5940  0.2181
Au  0.2905  0.2905  0.1284
K  0.8119  0.8119  0.5643

Properties
- relative energy among the computed polymorphs (meV per atom) = 0.0
- symmetry = R3m, No. 160
- ΔH_f (0 K) (eV per atom) = -0.2263


Here is a relaxed structure of K2TlSnAu from Alexandria. Energies are from PBE-GGA.

Lattice parameters (Å, degrees): 6.2842 6.2842 5.1473 90.00 90.00 90.00
Atoms (fractional coordinates):
Sn  0.0000  0.0000  0.5000
K  0.0000  0.5000  0.0000
K  0.5000  0.0000  0.0000
Au  0.0000  0.0000  0.0000
Tl  0.5000  0.5000  0.5000

Properties
- symmetry = P4/mmm, No. 123
- ΔH_f (0 K) (eV per atom) = -0.0620


Here is a relaxed structure of KZnSn2Au4 from Alexandria. Energies are from PBE-GGA.

Lattice parameters (Å, degrees): 4.7207 4.7207 10.4439 76.94 76.94 60.00
Atoms (fractional coordinates):
Sn  0.2445  0.2445  0.2666
Sn  0.7555  0.7555  0.7334
K  0.0000  0.0000  0.0000
Au  0.5883  0.5883  0.2351
Au  0.4117  0.4117  0.7649
Au  0.1489  0.1489  0.5533
Au  0.8511  0.8511  0.4467
Zn  0.5000  0.5000  0.5000

Properties
- symmetry = R-3m, No. 166
- ΔH_f (0 K) (eV per atom) = -0.2140


Values for raw total energy, eV/atom, ordered as above
-2.3926, -2.9123, -2.4303, -3.1498